# CeScGaPb, optimized geometry, DFT PBE
# **Spin magnetization**: 0.964 μB per formula unit
# **D(E_F)**: 7.843 states/eV per cell
# **Total DFT energy (no corrections)**: -5.118 eV/atom
# **Formation energy from the elements**: -368 meV/atom
data_CeScGaPb
_symmetry_space_group_name_H-M 'P 1'
_symmetry_Int_Tables_number 1
_symmetry_space_group_name_Hall 'P 1'
_cell_length_a 5.196
_cell_length_b 5.196
_cell_length_c 5.196
_cell_angle_alpha 60.00
_cell_angle_beta 60.00
_cell_angle_gamma 60.00
loop_
_atom_site_label
_atom_site_type_symbol
_atom_site_fract_x
_atom_site_fract_y
_atom_site_fract_z
_atom_site_occupancy
Ga1 Ga 0.500 0.500 0.500 1
Pb1 Pb 0.000 0.000 0.000 1
Ce1 Ce 0.250 0.250 0.250 1
Sc1 Sc 0.750 0.750 0.750 1